[1]
# ZrCl

Crystalline ZrCl at its relaxed geometry (PBE-GGA, Alexandria via LeMat-Bulk).

Lattice parameters (Å, degrees): 6.125 6.125 4.607 67.92 67.92 30.04
Fractional positions:
Cl1 0.973 0.973 0.027
Cl2 0.777 0.777 0.723
Zr1 0.263 0.263 0.237
Zr2 0.487 0.487 0.513

## Properties
- ρ (g/cm³) = 5.28
- N(E_F) (states/eV/cell) = 3.11
- energy relative to the elements, uncorrected (eV/atom) = -0.55
- space group = Imma (74)



[2]
# Cs4S

Crystalline Cs4S at its relaxed geometry (PBE-GGA, Alexandria via LeMat-Bulk).

Lattice parameters (Å, degrees): 7.122 7.122 7.122 90.00 90.00 90.00
Fractional positions:
Cs1 0.000 0.000 0.000
Cs2 0.500 0.000 0.500
Cs3 0.000 0.500 0.500
Cs4 0.500 0.500 0.000
S1 0.500 0.500 0.500

## Properties
- ρ (g/cm³) = 2.59
- N(E_F) (states/eV/cell) = 2.25
- energy relative to the elements, uncorrected (eV/atom) = -0.50
- space group = Pm-3m (221)
- offset from the most stable computed form (meV per atom) = 87



[3]
# YSb3Te6

Crystalline YSb3Te6 at its relaxed geometry (PBE-GGA, Alexandria via LeMat-Bulk).

Lattice parameters (Å, degrees): 4.282 13.132 12.983 108.72 90.00 90.00
Fractional positions:
Y1 0.750 0.039 0.693
Y2 0.250 0.961 0.307
Sb1 0.750 0.439 0.842
Sb2 0.250 0.561 0.158
Sb3 0.750 0.703 0.459
Sb4 0.250 0.297 0.541
Sb5 0.750 0.148 0.104
Sb6 0.250 0.852 0.896
Te1 0.750 0.465 0.623
Te2 0.250 0.535 0.377
Te3 0.750 0.930 0.111
Te4 0.250 0.070 0.889
Te5 0.750 0.400 0.080
Te6 0.250 0.600 0.920
Te7 0.750 0.764 0.263
Te8 0.250 0.236 0.737
Te9 0.750 0.102 0.472
Te10 0.250 0.898 0.528
Te11 0.750 0.804 0.734
Te12 0.250 0.196 0.266

## Properties
- ρ (g/cm³) = 5.86
- energy relative to the elements, uncorrected (eV/atom) = -0.42
- space group = P2_1/m (11)



[4]
# La4FeP

Crystalline La4FeP at its relaxed geometry (PBE-GGA, Alexandria via LeMat-Bulk).

Lattice parameters (Å, degrees): 6.259 6.259 6.259 60.00 60.00 60.00
Fractional positions:
La1 0.873 0.376 0.376
La2 0.376 0.376 0.873
La3 0.376 0.873 0.376
La4 0.376 0.376 0.376
Fe1 0.000 0.000 0.000
P1 0.750 0.750 0.750

## Properties
- ρ (g/cm³) = 6.15
- N(E_F) (states/eV/cell) = 8.74
- formation energy (eV/atom) = 0.624
- space group = F-43m (216)



[5]
# SnHgF4

Crystalline SnHgF4 at its relaxed geometry (PBE-GGA, Alexandria via LeMat-Bulk).

Lattice parameters (Å, degrees): 5.763 5.763 7.026 114.10 114.10 90.24
Fractional positions:
Sn1 0.875 0.125 0.250
Sn2 0.125 0.875 0.750
Hg1 0.375 0.625 0.250
Hg2 0.625 0.375 0.750
F1 0.255 0.001 0.500
F2 0.999 0.745 0.000
F3 0.255 0.501 0.500
F4 0.499 0.745 0.000
F5 0.745 0.999 0.500
F6 0.745 0.499 0.500
F7 0.001 0.255 0.000
F8 0.501 0.255 0.000

## Properties
- ρ (g/cm³) = 6.90
- N(E_F) (states/eV/cell) = 0.00
- energy relative to the elements, uncorrected (eV/atom) = -1.85
- space group = Fddd (70)



[6]
# Y2SiP

Crystalline Y2SiP at its relaxed geometry (PBE-GGA, Alexandria via LeMat-Bulk).

Lattice parameters (Å, degrees): 4.912 4.912 4.912 60.00 60.00 60.00
Fractional positions:
P1 0.500 0.500 0.500
Si1 0.750 0.750 0.750
Y1 0.000 0.000 0.000
Y2 0.250 0.250 0.250

## Properties
- ρ (g/cm³) = 4.69
- N(E_F) (states/eV/cell) = 5.32
- energy relative to the elements, uncorrected (eV/atom) = 0.01
- space group = F-43m (216)
- offset from the most stable computed form (meV per atom) = 1238



[7]
# Sm12ZnCd6

Crystalline Sm12ZnCd6 at its relaxed geometry (PBE-GGA, Alexandria via LeMat-Bulk).

Lattice parameters (Å, degrees): 8.179 8.179 8.179 88.59 88.59 88.59
Fractional positions:
Sm1 0.805 0.531 0.445
Sm2 0.445 0.805 0.531
Sm3 0.531 0.445 0.805
Sm4 0.195 0.469 0.555
Sm5 0.555 0.195 0.469
Sm6 0.469 0.555 0.195
Sm7 0.020 0.146 0.365
Sm8 0.854 0.635 0.980
Sm9 0.635 0.980 0.854
Sm10 0.980 0.854 0.635
Sm11 0.146 0.365 0.020
Sm12 0.365 0.020 0.146
Zn1 0.000 0.000 0.000
Cd1 0.737 0.891 0.261
Cd2 0.739 0.263 0.109
Cd3 0.109 0.739 0.263
Cd4 0.263 0.109 0.739
Cd5 0.261 0.737 0.891
Cd6 0.891 0.261 0.737

## Properties
- ρ (g/cm³) = 7.73
- N(E_F) (states/eV/cell) = 21.71
- formation energy (eV/atom) = -0.114
- space group = R-3 (148)



[8]
# PrErSc2

Crystalline PrErSc2 at its relaxed geometry (PBE-GGA, Alexandria via LeMat-Bulk).

Lattice parameters (Å, degrees): 5.283 3.389 12.883 89.88 90.00 90.00
Fractional positions:
Pr1 0.201 0.862 0.807
Pr2 0.701 0.355 0.409
Er1 0.201 0.855 0.292
Er2 0.701 0.361 0.924
Sc1 0.701 0.858 0.149
Sc2 0.701 0.361 0.669
Sc3 0.201 0.857 0.547
Sc4 0.201 0.358 0.067

## Properties
- ρ (g/cm³) = 5.73
- N(E_F) (states/eV/cell) = 14.73
- formation energy (eV/atom) = 0.086
- space group = P2_1/m (11)
- offset from the most stable computed form (meV per atom) = 31



[9]
# EuFe2

Crystalline EuFe2 at its relaxed geometry (PBE-GGA, Alexandria via LeMat-Bulk).

Lattice parameters (Å, degrees): 5.423 5.423 8.489 90.00 90.00 120.00
Fractional positions:
Eu1 0.333 0.667 0.443
Eu2 0.667 0.333 0.557
Eu3 0.667 0.333 0.943
Eu4 0.333 0.667 0.057
Fe1 0.000 0.000 0.500
Fe2 0.000 0.000 0.000
Fe3 0.851 0.149 0.250
Fe4 0.851 0.702 0.250
Fe5 0.298 0.149 0.250
Fe6 0.149 0.851 0.750
Fe7 0.149 0.298 0.750
Fe8 0.702 0.851 0.750

## Properties
- ρ (g/cm³) = 8.10
- N(E_F) (states/eV/cell) = 51.43
- formation energy (eV/atom) = 0.346
- space group = P6_3/mmc (194)
- offset from the most stable computed form (meV per atom) = 0



[10]
# Na8B11C5

Crystalline Na8B11C5 at its relaxed geometry (PBE-GGA, Alexandria via LeMat-Bulk).

Lattice parameters (Å, degrees): 2.802 8.589 10.311 90.00 90.00 90.00
Fractional positions:
Na1 0.000 0.000 0.998
Na2 0.000 0.500 0.998
Na3 0.500 0.000 0.249
Na4 0.500 0.500 0.249
Na5 0.000 0.002 0.501
Na6 0.000 0.498 0.501
Na7 0.500 0.003 0.751
Na8 0.500 0.497 0.751
C1 0.000 0.250 0.159
C2 0.000 0.750 0.331
C3 0.000 0.250 0.678
C4 0.000 0.750 0.831
C5 0.500 0.250 0.919
B1 0.500 0.750 0.075
B2 0.500 0.250 0.077
B3 0.000 0.750 0.182
B4 0.500 0.250 0.424
B5 0.000 0.250 0.312
B6 0.500 0.750 0.410
B7 0.500 0.750 0.575
B8 0.500 0.250 0.598
B9 0.000 0.750 0.682
B10 0.000 0.250 0.839
B11 0.500 0.750 0.910

## Properties
- ρ (g/cm³) = 2.43
- N(E_F) (states/eV/cell) = 2.94
- formation energy (eV/atom) = 0.102
- space group = Pmm2 (25)
- offset from the most stable computed form (meV per atom) = 0



[11]
# CdW4Se8

Crystalline CdW4Se8 at its relaxed geometry (PBE-GGA, Alexandria via LeMat-Bulk).

Lattice parameters (Å, degrees): 6.659 6.659 9.122 90.00 111.41 120.00
Fractional positions:
Cd1 0.000 0.500 0.500
W1 0.000 0.000 0.000
W2 0.000 0.500 0.000
W3 0.500 0.500 0.000
W4 0.500 0.000 0.000
Se1 0.472 0.736 0.207
Se2 0.528 0.264 0.793
Se3 0.471 0.235 0.207
Se4 0.029 0.264 0.793
Se5 0.529 0.765 0.793
Se6 0.029 0.765 0.793
Se7 0.971 0.235 0.207
Se8 0.971 0.736 0.207

## Properties
- ρ (g/cm³) = 7.73
- N(E_F) (states/eV/cell) = 4.63
- energy relative to the elements, uncorrected (eV/atom) = -0.24
- space group = R-3m (166)



[12]
# BaZnP2

Crystalline BaZnP2 at its relaxed geometry (PBE-GGA, Alexandria via LeMat-Bulk).

Lattice parameters (Å, degrees): 3.688 3.688 6.497 90.00 90.00 90.00
Fractional positions:
Ba1 0.500 0.500 0.750
P1 0.000 0.000 0.081
P2 0.000 0.000 0.419
Zn1 0.500 0.500 0.250

## Properties
- ρ (g/cm³) = 4.97
- N(E_F) (states/eV/cell) = 2.69
- formation energy (eV/atom) = -0.204
- space group = P4/mmm (123)



[13]
# SrTa2Pb

Crystalline SrTa2Pb at its relaxed geometry (PBE-GGA, Alexandria via LeMat-Bulk).

Lattice parameters (Å, degrees): 3.813 3.813 7.206 90.00 90.00 90.00
Fractional positions:
Pb1 0.500 0.500 0.250
Sr1 0.500 0.500 0.750
Ta1 0.000 0.000 0.078
Ta2 0.000 0.000 0.422

## Properties
- ρ (g/cm³) = 10.41
- N(E_F) (states/eV/cell) = 2.48
- formation energy (eV/atom) = 0.768
- space group = P4/mmm (123)



[14]
# La3MnHg

Crystalline La3MnHg at its relaxed geometry (PBE-GGA, Alexandria via LeMat-Bulk).

Lattice parameters (Å, degrees): 5.257 5.257 5.257 90.00 90.00 90.00
Fractional positions:
Mn1 0.000 0.000 0.000
Hg1 0.500 0.500 0.500
La1 0.000 0.500 0.000
La2 0.000 0.000 0.500
La3 0.500 0.000 0.000

## Properties
- ρ (g/cm³) = 7.68
- N(E_F) (states/eV/cell) = 6.58
- formation energy (eV/atom) = -0.048
- space group = Pm-3m (221)
- offset from the most stable computed form (meV per atom) = 0



[15]
# TaSnTeI2

Crystalline TaSnTeI2 at its relaxed geometry (PBE-GGA, Alexandria via LeMat-Bulk).

Lattice parameters (Å, degrees): 6.235 5.282 6.235 90.00 90.00 90.00
Fractional positions:
I1 0.000 0.000 0.500
I2 0.500 0.000 0.000
Te1 0.000 0.000 0.000
Sn1 0.500 0.500 0.500
Ta1 0.000 0.500 0.000

## Properties
- ρ (g/cm³) = 5.51
- N(E_F) (states/eV/cell) = 6.70
- energy relative to the elements, uncorrected (eV/atom) = 1.15
- space group = P4/mmm (123)
- offset from the most stable computed form (meV per atom) = 773



[16]
# Pa2NiSe4

Crystalline Pa2NiSe4 at its relaxed geometry (PBE-GGA, Alexandria via LeMat-Bulk).

Lattice parameters (Å, degrees): 6.600 6.289 7.754 90.00 107.09 90.00
Fractional positions:
Pa1 0.739 0.750 0.057
Pa2 0.261 0.250 0.943
Pa3 0.267 0.250 0.439
Pa4 0.733 0.750 0.561
Ni1 0.259 0.750 0.189
Ni2 0.741 0.250 0.811
Se1 0.520 0.489 0.254
Se2 0.072 0.750 0.885
Se3 0.928 0.250 0.115
Se4 0.520 0.011 0.254
Se5 0.932 0.250 0.602
Se6 0.480 0.989 0.746
Se7 0.480 0.511 0.746
Se8 0.068 0.750 0.398

## Properties
- ρ (g/cm³) = 9.03
- N(E_F) (states/eV/cell) = 12.22
- energy relative to the elements, uncorrected (eV/atom) = -1.10
- space group = P2_1/m (11)



[17]
# Ce4Hg5Pt2

Crystalline Ce4Hg5Pt2 at its relaxed geometry (PBE-GGA, Alexandria via LeMat-Bulk).

Lattice parameters (Å, degrees): 3.676 7.890 9.833 94.82 90.00 90.00
Fractional positions:
Ce1 0.500 0.773 0.562
Ce2 0.500 0.184 0.854
Ce3 0.500 0.227 0.438
Ce4 0.500 0.816 0.146
Hg1 0.000 0.540 0.325
Hg2 0.000 0.167 0.141
Hg3 0.000 0.500 0.000
Hg4 0.000 0.833 0.859
Hg5 0.000 0.460 0.675
Pt1 0.000 0.076 0.638
Pt2 0.000 0.924 0.362

## Properties
- ρ (g/cm³) = 11.42
- N(E_F) (states/eV/cell) = 26.70
- formation energy (eV/atom) = -0.582
- space group = P2/m (10)